Record 1
An optimized crystal structure of NiIr3Se. Source: Alexandria via LeMat-Bulk, functional PBE.

## Properties
Calculated volume, Å³/cell: 91.73
Uncorrected formation energy, eV/atom: 1.646
Density, g/cm3: 12.9

a = 4.5099 Å, b = 4.5099 Å, c = 4.5099 Å
α = 90.00°, β = 90.00°, γ = 90.00°
Space group Pm-3m (No. 221)
Unique sites:
Ni 0.0000 0.0000 0.0000 (multiplicity 1)
Ir 0.0000 0.0000 0.5000 (multiplicity 3)
Se 0.5000 0.5000 0.5000 (multiplicity 1)


Record 2
An optimized crystal structure of Ni2IrSe. Source: Alexandria via LeMat-Bulk, functional PBE.

## Properties
Calculated volume, Å³/cell: 223.26
Uncorrected formation energy, eV/atom: 0.254
Density, g/cm3: 11.6

a = 6.7383 Å, b = 6.7383 Å, c = 4.9171 Å
α = 90.00°, β = 90.00°, γ = 90.00°
Space group I-42d (No. 122)
Unique sites:
Ni 0.2237 0.2500 0.1250 (multiplicity 8)
Ir 0.0000 0.0000 0.5000 (multiplicity 4)
Se 0.0000 0.0000 0.0000 (multiplicity 4)


Record 3
An optimized crystal structure of Ni2IrSe. Source: Alexandria via LeMat-Bulk, functional PBE.

## Properties
Calculated volume, Å³/cell: 216.37
Uncorrected formation energy, eV/atom: 0.365
Density, g/cm3: 11.9

a = 6.0034 Å, b = 6.0034 Å, c = 6.0034 Å
α = 90.00°, β = 90.00°, γ = 90.00°
Space group Fm-3m (No. 225)
Unique sites:
Ni 0.2500 0.2500 0.2500 (multiplicity 8)
Ir 0.0000 0.0000 0.0000 (multiplicity 4)
Se 0.0000 0.0000 0.5000 (multiplicity 4)


Record 4
An optimized crystal structure of NiIr2Se6. Source: Alexandria via LeMat-Bulk, functional PBE.

## Properties
Calculated volume, Å³/cell: 534.27
Uncorrected formation energy, eV/atom: -0.230
Density, g/cm3: 8.5

a = 11.0419 Å, b = 11.0419 Å, c = 5.0599 Å
α = 90.00°, β = 90.00°, γ = 120.00°
Space group P-3m1 (No. 164)
Unique sites:
Ni 0.0000 0.0000 0.0000 (multiplicity 1)
Ni 0.3333 0.6667 0.5075 (multiplicity 2)
Ir 0.0000 0.3362 0.0000 (multiplicity 6)
Se 0.0956 0.5478 0.2808 (multiplicity 6)
Se 0.1100 0.2200 0.2504 (multiplicity 6)
Se 0.2140 0.4280 0.7252 (multiplicity 6)


Record 5
An optimized crystal structure of NiIrSe4. Source: Alexandria via LeMat-Bulk, functional PBE.

## Properties
Calculated volume, Å³/cell: 459.87
Uncorrected formation energy, eV/atom: 1.323
Density, g/cm3: 8.2

a = 7.7187 Å, b = 7.7187 Å, c = 7.7187 Å
α = 90.00°, β = 90.00°, γ = 90.00°
Space group F-43m (No. 216)
Unique sites:
Ni 0.0000 0.0000 0.0000 (multiplicity 4)
Ir 0.2500 0.2500 0.2500 (multiplicity 4)
Se 0.1248 0.1248 0.6248 (multiplicity 16)


Record 6
An optimized crystal structure of Ni2IrSe. Source: Alexandria via LeMat-Bulk, functional PBE.

## Properties
Calculated volume, Å³/cell: 53.38
Uncorrected formation energy, eV/atom: 0.182
Density, g/cm3: 12.1

a = 2.9293 Å, b = 4.1295 Å, c = 4.4132 Å
α = 90.00°, β = 90.00°, γ = 90.00°
Space group Pmm2 (No. 25)
Unique sites:
Ni 0.0000 0.0000 0.0000 (multiplicity 1)
Ni 0.0000 0.5000 0.3172 (multiplicity 1)
Ir 0.5000 0.0000 0.4912 (multiplicity 1)
Se 0.5000 0.5000 0.8391 (multiplicity 1)


Record order is preserved below.
Total magnetic moment: 3.491 0.000 0.000 0.000 1.649 0.000 μB/f.u.